Material: Ir2Pb
Method: DFT, GGA-PBE
State: optimized geometry

Computed properties:
- calculated volume (Å³/f.u.) = 53
- M_tot (μB/cell) = 0.0
- raw total energy (eV per atom) = -6.62

abc: 4.168 6.048 8.379
angles: 90.00 90.00 90.00
Positions (direct):
1 Pb 0.250 0.656 0.406
2 Pb 0.750 0.844 0.906
3 Pb 0.250 0.156 0.094
4 Pb 0.750 0.344 0.594
5 Ir 0.250 0.100 0.761
6 Ir 0.750 0.400 0.261
7 Ir 0.250 0.600 0.739
8 Ir 0.750 0.900 0.239
9 Ir 0.250 0.111 0.418
10 Ir 0.750 0.389 0.918
11 Ir 0.250 0.611 0.082
12 Ir 0.750 0.889 0.582

Material: Ir2Pb
Method: DFT, GGA-PBE
State: optimized geometry

Computed properties:
- calculated volume (Å³/f.u.) = 62
- M_tot (μB/cell) = 0.0
- raw total energy (eV per atom) = -6.74

abc: 10.340 10.340 4.193
angles: 90.00 90.00 163.85
Positions (direct):
1 Ir 0.733 0.267 0.750
2 Ir 0.346 0.654 0.750
3 Ir 0.267 0.733 0.250
4 Ir 0.654 0.346 0.250
5 Pb 0.078 0.922 0.750
6 Pb 0.922 0.078 0.250

Material: IrPb3
Method: DFT, GGA-PBE
State: optimized geometry

Computed properties:
- calculated volume (Å³/f.u.) = 100
- M_tot (μB/cell) = 0.0
- raw total energy (eV per atom) = -4.50

abc: 4.642 4.642 4.642
angles: 90.00 90.00 90.00
Positions (direct):
1 Ir 0.000 0.000 0.000
2 Pb 0.000 0.500 0.500
3 Pb 0.500 0.000 0.500
4 Pb 0.500 0.500 0.000

Material: IrPb5
Method: DFT, GGA-PBE
State: optimized geometry

Computed properties:
- calculated volume (Å³/f.u.) = 166
- M_tot (μB/cell) = 0.0
- raw total energy (eV per atom) = -4.42

abc: 3.443 3.443 13.978
angles: 90.00 90.00 90.00
Positions (direct):
1 Ir 0.500 0.500 0.000
2 Pb 0.000 0.000 0.879
3 Pb 0.000 0.000 0.121
4 Pb 0.500 0.500 0.679
5 Pb 0.500 0.500 0.321
6 Pb 0.000 0.000 0.500

Material: Ir2Pb
Method: DFT, GGA-PBE
State: optimized geometry

Computed properties:
- calculated volume (Å³/f.u.) = 61
- M_tot (μB/cell) = 0.0
- raw total energy (eV per atom) = -6.60

abc: 5.956 5.956 5.956
angles: 152.11 142.00 47.79
Positions (direct):
1 Ir 0.292 0.292 0.000
2 Ir 0.708 0.708 0.000
3 Pb 0.000 0.000 0.000

Material: IrPb4
Method: DFT, GGA-PBE
State: optimized geometry

Computed properties:
- calculated volume (Å³/f.u.) = 151
- M_tot (μB/cell) = 0.0
- raw total energy (eV per atom) = -4.37

abc: 5.807 5.807 5.807
angles: 109.47 109.47 109.47
Positions (direct):
1 Ir 0.000 0.000 0.000
2 Pb 0.000 0.500 0.000
3 Pb 0.000 0.000 0.500
4 Pb 0.500 0.500 0.500
5 Pb 0.500 0.000 0.000

Material: IrPb3
Method: DFT, GGA-PBE
State: optimized geometry

Computed properties:
- calculated volume (Å³/f.u.) = 110
- M_tot (μB/cell) = 0.0
- raw total energy (eV per atom) = -4.72

abc: 3.778 3.778 8.867
angles: 90.00 90.00 120.00
Positions (direct):
1 Ir 0.000 0.000 0.000
2 Pb 0.000 0.000 0.500
3 Pb 0.667 0.333 0.195
4 Pb 0.667 0.333 0.805

Material: IrPb3
Method: DFT, GGA-PBE
State: optimized geometry

Computed properties:
- calculated volume (Å³/f.u.) = 104
- M_tot (μB/cell) = 0.0
- raw total energy (eV per atom) = -4.72

abc: 10.584 10.584 10.584
angles: 18.46 18.46 18.46
Positions (direct):
1 Ir 0.000 0.000 0.000
2 Pb 0.734 0.734 0.734
3 Pb 0.500 0.500 0.500
4 Pb 0.266 0.266 0.266

Material: Ir7Pb
Method: DFT, GGA-PBE
State: optimized geometry

Computed properties:
- calculated volume (Å³/f.u.) = 124
- M_tot (μB/cell) = 0.0
- raw total energy (eV per atom) = -7.97

abc: 5.591 5.591 5.591
angles: 60.00 60.00 60.00
Positions (direct):
1 Ir 0.500 0.500 0.000
2 Ir 0.500 0.000 0.500
3 Ir 0.500 0.000 0.000
4 Ir 0.000 0.000 0.500
5 Ir 0.000 0.500 0.000
6 Ir 0.000 0.500 0.500
7 Ir 0.500 0.500 0.500
8 Pb 0.000 0.000 0.000

Material: IrPb3
Method: DFT, GGA-PBE
State: optimized geometry

Computed properties:
- calculated volume (Å³/f.u.) = 124
- M_tot (μB/cell) = 0.0
- raw total energy (eV per atom) = -4.63

abc: 7.307 7.307 4.824
angles: 90.00 90.00 105.86
Positions (direct):
1 Ir 0.487 0.513 0.250
2 Ir 0.513 0.487 0.750
3 Pb 0.904 0.096 0.750
4 Pb 0.096 0.904 0.250
5 Pb 0.894 0.591 0.750
6 Pb 0.106 0.409 0.250
7 Pb 0.409 0.106 0.750
8 Pb 0.591 0.894 0.250

Material: Ir2Pb
Method: DFT, GGA-PBE
State: optimized geometry

Computed properties:
- calculated volume (Å³/f.u.) = 54
- M_tot (μB/cell) = 0.0
- raw total energy (eV per atom) = -6.43

abc: 3.058 3.058 6.698
angles: 90.00 90.00 120.00
Positions (direct):
1 Ir 0.667 0.333 0.651
2 Ir 0.333 0.667 0.349
3 Pb 0.000 0.000 0.000

Material: Ir2Pb
Method: DFT, GGA-PBE
State: optimized geometry

Computed properties:
- calculated volume (Å³/f.u.) = 56
- M_tot (μB/cell) = 0.0
- raw total energy (eV per atom) = -6.72

abc: 7.096 7.096 6.000
angles: 66.13 66.13 24.02
Positions (direct):
1 Ir 0.976 0.976 0.228
2 Ir 0.607 0.607 0.347
3 Ir 0.393 0.393 0.653
4 Ir 0.024 0.024 0.772
5 Pb 0.305 0.305 0.184
6 Pb 0.695 0.695 0.816

Material: IrPb5
Method: DFT, GGA-PBE
State: optimized geometry

Computed properties:
- calculated volume (Å³/f.u.) = 162
- M_tot (μB/cell) = 0.0
- raw total energy (eV per atom) = -4.23

abc: 5.951 5.951 5.274
angles: 90.00 90.00 120.00
Positions (direct):
1 Ir 0.000 0.000 0.500
2 Pb 0.691 0.000 0.000
3 Pb 0.309 0.309 0.000
4 Pb 0.000 0.691 0.000
5 Pb 0.667 0.333 0.500
6 Pb 0.333 0.667 0.500

Material: Ir2Pb
Method: DFT, GGA-PBE
State: optimized geometry

Computed properties:
- calculated volume (Å³/f.u.) = 56
- M_tot (μB/cell) = 0.0
- raw total energy (eV per atom) = -6.47

abc: 4.507 4.507 3.166
angles: 90.00 90.00 120.00
Positions (direct):
1 Ir 0.333 0.667 0.500
2 Ir 0.667 0.333 0.500
3 Pb 0.000 0.000 0.000

Material: Ir2Pb
Method: DFT, GGA-PBE
State: optimized geometry

Computed properties:
- calculated volume (Å³/f.u.) = 54
- M_tot (μB/cell) = 0.0
- raw total energy (eV per atom) = -6.35

abc: 4.931 4.931 4.931
angles: 137.30 137.30 61.98
Positions (direct):
1 Ir 0.679 0.679 0.000
2 Ir 0.321 0.321 0.000
3 Pb 0.000 0.000 0.000

Material: Ir2Pb
Method: DFT, GGA-PBE
State: optimized geometry

Computed properties:
- calculated volume (Å³/f.u.) = 61
- M_tot (μB/cell) = 0.0
- raw total energy (eV per atom) = -6.22

abc: 4.412 4.412 4.412
angles: 60.00 60.00 60.00
Positions (direct):
1 Ir 0.750 0.750 0.750
2 Ir 0.250 0.250 0.250
3 Pb 0.000 0.000 0.000

Material: Ir3Pb5
Method: DFT, GGA-PBE
State: optimized geometry

Computed properties:
- calculated volume (Å³/f.u.) = 183
- M_tot (μB/cell) = 0.0
- raw total energy (eV per atom) = -5.25

abc: 8.298 8.298 6.142
angles: 90.00 90.00 120.00
Positions (direct):
1 Pb 0.333 0.667 0.000
2 Pb 0.667 0.333 0.500
3 Pb 0.667 0.333 0.000
4 Pb 0.333 0.667 0.500
5 Pb 0.249 0.000 0.250
6 Pb 0.751 0.000 0.750
7 Pb 0.000 0.249 0.250
8 Pb 0.751 0.751 0.250
9 Pb 0.249 0.249 0.750
10 Pb 0.000 0.751 0.750
11 Ir 0.587 0.000 0.250
12 Ir 0.413 0.000 0.750
13 Ir 0.000 0.587 0.250
14 Ir 0.413 0.413 0.250
15 Ir 0.587 0.587 0.750
16 Ir 0.000 0.413 0.750

Material: Ir2Pb
Method: DFT, GGA-PBE
State: optimized geometry

Computed properties:
- calculated volume (Å³/f.u.) = 63
- M_tot (μB/cell) = 0.0
- raw total energy (eV per atom) = -6.46

abc: 3.685 3.685 4.663
angles: 90.00 90.00 90.00
Positions (direct):
1 Ir 0.000 0.500 0.500
2 Ir 0.500 0.000 0.500
3 Pb 0.000 0.000 0.000

Material: IrPb5
Method: DFT, GGA-PBE
State: optimized geometry

Computed properties:
- calculated volume (Å³/f.u.) = 170
- M_tot (μB/cell) = 0.0
- raw total energy (eV per atom) = -4.43

abc: 6.520 6.520 8.557
angles: 68.00 68.00 30.53
Positions (direct):
1 Ir 0.500 0.500 0.500
2 Pb 0.156 0.156 0.220
3 Pb 0.844 0.844 0.780
4 Pb 0.868 0.868 0.367
5 Pb 0.500 0.500 0.000
6 Pb 0.132 0.132 0.633

Material: IrPd3Pb
Method: DFT, GGA-PBE
State: optimized geometry

Computed properties:
- calculated volume (Å³/f.u.) = 117
- M_tot (μB/cell) = 1.6
- raw total energy (eV per atom) = -4.79

abc: 4.892 4.892 4.892
angles: 90.00 90.00 90.00
Positions (direct):
1 Pb 0.500 0.500 0.500
2 Ir 0.000 0.000 0.000
3 Pd 0.000 0.500 0.000
4 Pd 0.000 0.000 0.500
5 Pd 0.500 0.000 0.000